Run P
Entry from Alexandria via LeMat-Bulk: an optimized crystal structure of AsAuI (GGA-PBE).

size of the total moment = 0.000 μB/atom
space group = P2_1/m

Unit cell a=3.727 b=8.680 c=6.380 alpha=76.57 beta=90.00 gamma=90.00
Fractional coordinates of all 6 atoms:
Au  0.250  0.249  0.384
Au  0.750  0.751  0.616
I  0.750  0.151  0.713
I  0.250  0.849  0.287
As  0.750  0.594  0.983
As  0.250  0.406  0.017


Run Q
Entry from Alexandria via LeMat-Bulk: an optimized crystal structure of AsAuI (GGA-PBE).

size of the total moment = 0.000 μB/atom
space group = P2_1/m

Unit cell a=3.928 b=9.563 c=4.825 alpha=81.07 beta=90.00 gamma=90.00
Fractional coordinates of all 6 atoms:
I  0.750  0.330  0.291
I  0.250  0.670  0.709
Au  0.250  0.927  0.349
Au  0.750  0.073  0.651
As  0.250  0.138  0.972
As  0.750  0.862  0.028


Q: Which of them is the most stable? A: run Q.